# 1
Density functional theory data (PBE-GGA) for crystalline FeGe2Cl at its relaxed geometry. Values from VASP.

Calculated values
V: 189.9 Å³/cell
offset from the most stable computed form: 0.0 meV/atom
ΔE_f (raw): 0.31 eV per atom

Structure (Quantum ESPRESSO input):
```
&SYSTEM
  ibrav = 0, nat = 8, ntyp = 3
/
ATOMIC_SPECIES
Fe 55.84 Fe.upf
Ge 72.64 Ge.upf
Cl 35.45 Cl.upf
CELL_PARAMETERS angstrom
-2.924 2.924 5.552
2.924 -2.924 5.552
2.924 2.924 -5.552
ATOMIC_POSITIONS crystal
Fe 0.000 0.000 0.000
Fe 0.750 0.250 0.500
Ge 0.043 0.625 0.918
Ge 0.375 0.293 0.418
Ge 0.707 0.125 0.082
Ge 0.875 0.957 0.582
Cl 0.250 0.750 0.500
Cl 0.500 0.500 0.000
```


# 2
Density functional theory data (PBE-GGA) for crystalline Ba2MgC at its relaxed geometry. Values from VASP.

Calculated values
V: 296.5 Å³/cell
offset from the most stable computed form: 0.0 meV/atom
energy of formation from the pure elements: 0.736 eV per atom

Structure (Quantum ESPRESSO input):
```
&SYSTEM
  ibrav = 0, nat = 8, ntyp = 3
/
ATOMIC_SPECIES
Ba 137.33 Ba.upf
Mg 24.30 Mg.upf
C 12.01 C.upf
CELL_PARAMETERS angstrom
-4.311 4.311 3.989
4.311 -4.311 3.989
4.311 4.311 -3.989
ATOMIC_POSITIONS crystal
Ba 0.023 0.625 0.898
Ba 0.375 0.273 0.398
Ba 0.727 0.125 0.102
Ba 0.875 0.977 0.602
Mg 0.250 0.750 0.500
Mg 0.500 0.500 0.000
C 0.000 0.000 0.000
C 0.750 0.250 0.500
```


# 3
Density functional theory data (PBE-GGA) for crystalline Pr5Cd2Hg at its relaxed geometry. Values from VASP.

Calculated values
V: 498.1 Å³/cell
offset from the most stable computed form: 0.0 meV/atom
energy of formation from the pure elements: -0.242 eV per atom

Structure (Quantum ESPRESSO input):
```
&SYSTEM
  ibrav = 0, nat = 16, ntyp = 3
/
ATOMIC_SPECIES
Pr 140.91 Pr.upf
Cd 112.41 Cd.upf
Hg 200.59 Hg.upf
CELL_PARAMETERS angstrom
6.843 0.000 0.000
0.000 13.290 0.000
0.000 0.000 5.477
ATOMIC_POSITIONS crystal
Pr 0.000 0.000 0.000
Pr 0.153 0.276 0.000
Pr 0.153 0.612 0.500
Pr 0.347 0.112 0.500
Pr 0.347 0.776 0.000
Pr 0.500 0.500 0.000
Pr 0.653 0.224 0.000
Pr 0.653 0.888 0.500
Pr 0.847 0.388 0.500
Pr 0.847 0.724 0.000
Cd 0.129 0.865 0.500
Cd 0.371 0.365 0.500
Cd 0.629 0.635 0.500
Cd 0.871 0.135 0.500
Hg 0.000 0.500 0.000
Hg 0.500 0.000 0.000
```


# 4
Density functional theory data (PBE-GGA) for crystalline Cd4InSb at its relaxed geometry. Values from VASP.

Calculated values
V: 338.1 Å³/cell
offset from the most stable computed form: 0.0 meV/atom
ΔE_f (raw): 0.05 eV per atom

Structure (Quantum ESPRESSO input):
```
&SYSTEM
  ibrav = 0, nat = 12, ntyp = 3
/
ATOMIC_SPECIES
Cd 112.41 Cd.upf
In 114.82 In.upf
Sb 121.76 Sb.upf
CELL_PARAMETERS angstrom
-3.299 3.609 7.099
3.299 -3.609 7.099
3.299 3.609 -7.099
ATOMIC_POSITIONS crystal
Cd 0.000 0.239 0.239
Cd 0.000 0.761 0.761
Cd 0.257 0.000 0.757
Cd 0.257 0.500 0.257
Cd 0.500 0.239 0.739
Cd 0.500 0.761 0.261
Cd 0.743 0.000 0.243
Cd 0.743 0.500 0.743
In 0.377 0.127 0.250
In 0.623 0.873 0.750
Sb 0.127 0.377 0.750
Sb 0.873 0.623 0.250
```


# 5
Density functional theory data (PBE-GGA) for crystalline SrTcO3 at its relaxed geometry. Values from VASP.

Calculated values
V: 279.1 Å³/cell
ΔE_f (raw): -1.92 eV per atom

Structure (Quantum ESPRESSO input):
```
&SYSTEM
  ibrav = 0, nat = 20, ntyp = 3
/
ATOMIC_SPECIES
Sr 87.62 Sr.upf
Tc 98.00 Tc.upf
O 16.00 O.upf
CELL_PARAMETERS angstrom
7.631 0.000 0.000
0.000 4.965 0.000
-2.564 0.000 7.366
ATOMIC_POSITIONS crystal
Sr 0.163 0.215 0.147
Sr 0.163 0.285 0.647
Sr 0.837 0.715 0.353
Sr 0.837 0.785 0.853
Tc 0.431 0.710 0.035
Tc 0.431 0.790 0.535
Tc 0.569 0.210 0.465
Tc 0.569 0.290 0.965
O 0.169 0.618 0.972
O 0.169 0.882 0.472
O 0.330 0.073 0.927
O 0.330 0.427 0.427
O 0.437 0.596 0.788
O 0.437 0.904 0.288
O 0.563 0.096 0.712
O 0.563 0.404 0.212
O 0.670 0.573 0.573
O 0.670 0.927 0.073
O 0.831 0.118 0.528
O 0.831 0.382 0.028
```


# 6
Density functional theory data (PBE-GGA) for crystalline TbPm2Sm5Sc at its relaxed geometry. Values from VASP.

Calculated values
V: 601.5 Å³/cell
energy of formation from the pure elements: 0.124 eV per atom

Structure (Quantum ESPRESSO input):
```
&SYSTEM
  ibrav = 0, nat = 18, ntyp = 4
/
ATOMIC_SPECIES
Tb 158.93 Tb.upf
Pm 145.00 Pm.upf
Sm 150.36 Sm.upf
Sc 44.96 Sc.upf
CELL_PARAMETERS angstrom
2.694 -10.989 0.000
2.694 10.989 0.000
0.000 0.000 10.157
ATOMIC_POSITIONS crystal
Tb 0.102 0.898 0.500
Tb 0.898 0.102 0.000
Pm 0.383 0.617 0.253
Pm 0.384 0.616 0.747
Pm 0.616 0.384 0.247
Pm 0.617 0.383 0.753
Sm 0.000 0.000 0.250
Sm 0.000 0.000 0.750
Sm 0.127 0.873 0.000
Sm 0.222 0.778 0.312
Sm 0.222 0.778 0.687
Sm 0.499 0.501 0.500
Sm 0.501 0.499 0.000
Sm 0.778 0.222 0.187
Sm 0.778 0.222 0.812
Sm 0.873 0.127 0.500
Sc 0.286 0.714 0.000
Sc 0.714 0.286 0.500
```


# 7
Density functional theory data (PBE-GGA) for crystalline PmPr5NdY2 at its relaxed geometry. Values from VASP.

Calculated values
V: 640.6 Å³/cell
energy of formation from the pure elements: 0.286 eV per atom

Structure (Quantum ESPRESSO input):
```
&SYSTEM
  ibrav = 0, nat = 18, ntyp = 4
/
ATOMIC_SPECIES
Pm 145.00 Pm.upf
Pr 140.91 Pr.upf
Nd 144.24 Nd.upf
Y 88.91 Y.upf
CELL_PARAMETERS angstrom
-4.417 4.417 8.209
4.417 -4.417 8.209
4.417 4.417 -8.209
ATOMIC_POSITIONS crystal
Pm 0.250 0.250 0.000
Pm 0.750 0.750 0.000
Pr 0.000 0.000 0.000
Pr 0.061 0.561 0.903
Pr 0.159 0.061 0.500
Pr 0.341 0.841 0.903
Pr 0.439 0.341 0.500
Pr 0.500 0.500 0.000
Pr 0.561 0.659 0.500
Pr 0.659 0.159 0.097
Pr 0.841 0.939 0.500
Pr 0.939 0.439 0.097
Nd 0.250 0.750 0.500
Nd 0.750 0.250 0.500
Y 0.121 0.379 0.500
Y 0.379 0.879 0.258
Y 0.621 0.121 0.742
Y 0.879 0.621 0.500
```


# 8
Density functional theory data (PBE-GGA) for crystalline Pu2PbF at its relaxed geometry. Values from VASP.

Calculated values
V: 100.0 Å³/cell
offset from the most stable computed form: 0.0 meV/atom
ΔE_f (raw): -0.96 eV per atom

Structure (Quantum ESPRESSO input):
```
&SYSTEM
  ibrav = 0, nat = 4, ntyp = 3
/
ATOMIC_SPECIES
Pu 244.00 Pu.upf
Pb 207.20 Pb.upf
F 19.00 F.upf
CELL_PARAMETERS angstrom
1.953 1.128 7.569
-1.953 1.128 7.569
0.000 -2.256 7.569
ATOMIC_POSITIONS crystal
Pu 0.228 0.228 0.228
Pu 0.772 0.772 0.772
Pb 0.000 0.000 0.000
F 0.500 0.500 0.500
```


Number 1: mass density 4138 kg/m3. Number 2: mass density 3484 kg/m3. Number 3: mass density 7533 kg/m3. Number 4: mass density 6741 kg/m3. Number 5: mass density 5560 kg/m3. Number 6: mass density 6878 kg/m3. Number 7: mass density 6074 kg/m3. Number 8: mass density 11854 kg/m3.